VASP calculation (GGA-PBE) on an optimized crystal structure of Mg6Cd3Hg.

```
Mg6Cd3Hg
1.0
11.183 0.000 0.000
0.000 3.259 0.000
-2.903 0.000 12.328
Mg Cd Hg
12 6 2
Direct
0.004 0.250 0.184 Mg
0.145 0.750 0.384 Mg
0.233 0.250 0.806 Mg
0.288 0.250 0.225 Mg
0.317 0.250 0.592 Mg
0.379 0.750 0.026 Mg
0.621 0.250 0.974 Mg
0.683 0.750 0.408 Mg
0.712 0.750 0.775 Mg
0.767 0.750 0.194 Mg
0.855 0.250 0.616 Mg
0.996 0.750 0.816 Mg
0.085 0.750 0.605 Cd
0.135 0.250 0.004 Cd
0.413 0.750 0.416 Cd
0.587 0.250 0.584 Cd
0.865 0.750 0.996 Cd
0.915 0.250 0.395 Cd
0.453 0.750 0.799 Hg
0.547 0.250 0.201 Hg
```

## Properties
size of the total moment: 0.00 μB/f.u.
distance to the lowest polymorph of the same formula: 0.049 eV per atom
formation energy: -0.066 eV/atom